Compound: MnGeIO2
Source: the Alexandria database
Functional: PBE+U
Structure: relaxed

Values from the calculation:
offset from the most stable computed form: 0 meV per atom
E: -25.052 eV per formula unit
total magnetization: 5.0 Bohr magnetons per cell

a = 3.890 Å, b = 3.890 Å, c = 6.037 Å
α = 90.00°, β = 90.00°, γ = 90.00°
Space group P4/mmm (No. 123)
Inequivalent atoms, fractional coordinates:
Mn 0.000 0.000 0.000 [1 per cell]
Ge 0.500 0.500 0.500 [1 per cell]
I 0.500 0.500 0.000 [1 per cell]
O 0.000 0.500 0.500 [2 per cell]

Compound: MnGeIO6
Source: the Alexandria database
Functional: PBE+U
Structure: relaxed

Values from the calculation:
E: -52.140 eV per formula unit
total magnetization: 8.3 Bohr magnetons per cell

a = 5.1610 Å, b = 5.1610 Å, c = 9.4687 Å
α = 90.00°, β = 90.00°, γ = 120.00°
Space group P-31c (No. 163)
Inequivalent atoms, fractional coordinates:
Mn 0.0000 0.0000 0.0000 [2 per cell]
Ge 0.3333 0.6667 0.2500 [2 per cell]
I 0.3333 0.6667 0.7500 [2 per cell]
O 0.0140 0.3657 0.1360 [12 per cell]

Compound: MnGeIO2
Source: the Alexandria database
Functional: PBE+U
Structure: relaxed

Values from the calculation:
offset from the most stable computed form: 67 meV per atom
E: -24.716 eV per formula unit
total magnetization: 3.8 Bohr magnetons per cell

a = 4.007 Å, b = 4.007 Å, c = 5.696 Å
α = 90.00°, β = 90.00°, γ = 90.00°
Space group P4/mmm (No. 123)
Inequivalent atoms, fractional coordinates:
Mn 0.000 0.000 0.000 [1 per cell]
Ge 0.500 0.500 0.500 [1 per cell]
I 0.000 0.000 0.500 [1 per cell]
O 0.000 0.500 0.000 [2 per cell]

Compound: MnGeI2O
Source: the Alexandria database
Functional: PBE+U
Structure: relaxed

Values from the calculation:
offset from the most stable computed form: 0 meV per atom
E: -21.428 eV per formula unit
total magnetization: 4.5 Bohr magnetons per cell

a = 5.776 Å, b = 5.776 Å, c = 3.759 Å
α = 90.00°, β = 90.00°, γ = 90.00°
Space group P4/mmm (No. 123)
Inequivalent atoms, fractional coordinates:
Mn 0.000 0.000 0.000 [1 per cell]
Ge 0.500 0.500 0.500 [1 per cell]
I 0.000 0.500 0.000 [2 per cell]
O 0.000 0.000 0.500 [1 per cell]